Record 1
{
  "formula": "Mg5GaPd",
  "functional": "PBE",
  "state": "relaxed",
  "lattice": [[-3.510, 1.133, 3.972], [-3.416, -3.424, -2.446], [6.014, -6.384, 4.621]],
  "species": ["Mg", "Mg", "Mg", "Mg", "Mg", "Mg", "Mg", "Mg", "Mg", "Mg", "Pd", "Pd", "Ga", "Ga"],
  "fractional_positions": [[0.996, 0.602, 0.152], [0.129, 0.871, 0.750], [0.004, 0.398, 0.848], [0.871, 0.129, 0.250], [0.543, 0.233, 0.968], [0.457, 0.767, 0.032], [0.233, 0.543, 0.468], [0.398, 0.004, 0.348], [0.767, 0.457, 0.532], [0.602, 0.996, 0.652], [0.000, 0.000, 0.500], [0.000, 0.000, 0.000], [0.489, 0.511, 0.750], [0.511, 0.489, 0.250]],
  "magnetic_moment_mub_per_cell": 0.00,
  "e_form_mev_per_atom": -193,
  "sg": "No. 15"
}

Record 2
{
  "formula": "Cs3PmBr6",
  "functional": "PBE",
  "state": "relaxed",
  "lattice": [[8.879, -0.180, -0.127], [4.099, 7.470, -0.020], [4.099, 2.478, 7.047]],
  "species": ["Cs", "Cs", "Cs", "Br", "Br", "Br", "Br", "Br", "Br", "Pm"],
  "fractional_positions": [[0.721, 0.758, 0.758], [0.279, 0.242, 0.242], [0.000, 0.000, 0.000], [0.648, 0.336, 0.804], [0.173, 0.712, 0.712], [0.648, 0.804, 0.336], [0.352, 0.664, 0.196], [0.352, 0.196, 0.664], [0.827, 0.288, 0.288], [0.500, 0.500, 0.500]],
  "raw_formation_energy_ev_per_atom": -1.866,
  "magnetic_moment_mub_per_cell": 0.00,
  "sg": "No. 12"
}

Record 3
{
  "formula": "YEr6Sc2",
  "functional": "PBE",
  "state": "relaxed",
  "lattice": [[8.077, 0.553, 3.381], [3.568, 7.968, 2.971], [1.762, -1.771, 8.878]],
  "species": ["Sc", "Sc", "Sc", "Sc", "Er", "Er", "Er", "Er", "Er", "Er", "Er", "Er", "Er", "Er", "Er", "Er", "Y", "Y"],
  "fractional_positions": [[0.445, 0.910, 0.726], [0.945, 0.726, 0.910], [0.055, 0.274, 0.090], [0.555, 0.090, 0.274], [0.704, 0.555, 0.885], [0.796, 0.115, 0.445], [0.524, 0.473, 0.304], [0.476, 0.527, 0.696], [0.296, 0.445, 0.115], [0.204, 0.885, 0.555], [0.401, 0.899, 0.154], [0.024, 0.304, 0.473], [0.099, 0.846, 0.101], [0.901, 0.154, 0.899], [0.976, 0.696, 0.527], [0.599, 0.101, 0.846], [0.750, 0.677, 0.323], [0.250, 0.323, 0.677]],
  "magnetic_moment_mub_per_cell": 0.00,
  "e_form_mev_per_atom": 90,
  "sg": "No. 15"
}

Record 4
{
  "formula": "Ba3NbBi",
  "functional": "PBE",
  "state": "relaxed",
  "lattice": [[-2.645, -1.833, 5.005], [3.220, -5.002, -0.129], [4.247, 2.651, 3.216]],
  "species": ["Ba", "Ba", "Ba", "Bi", "Nb"],
  "fractional_positions": [[0.000, 0.500, 0.000], [0.000, 0.000, 0.500], [0.500, 0.000, 0.000], [0.500, 0.500, 0.500], [0.000, 0.000, 0.000]],
  "magnetic_moment_mub_per_cell": 0.58,
  "e_form_mev_per_atom": 463,
  "sg": "No. 221",
  "e_above_lowest_polymorph_mev_per_atom": 0
}

Record 5
{
  "formula": "BaLi2TaAl",
  "functional": "PBE",
  "state": "relaxed",
  "lattice": [[-2.272, -0.683, 4.250], [-4.393, -3.112, -2.848], [2.491, -4.128, 0.669]],
  "species": ["Ta", "Li", "Li", "Ba", "Al"],
  "fractional_positions": [[0.500, 0.500, 0.500], [0.500, 0.000, 0.000], [0.000, 0.000, 0.500], [0.000, 0.500, 0.000], [0.000, 0.000, 0.000]],
  "magnetic_moment_mub_per_cell": 0.00,
  "e_form_mev_per_atom": 1313,
  "sg": "No. 123"
}

Record 6
{
  "formula": "KCrSe2",
  "functional": "PBE",
  "state": "relaxed",
  "lattice": [[-7.284, 3.044, 1.760], [-7.011, 2.430, -3.219], [6.225, -5.042, 1.117]],
  "species": ["Se", "Se", "K", "Cr"],
  "fractional_positions": [[0.980, 0.980, 0.000], [0.668, 0.168, 0.500], [0.300, 0.800, 0.500], [0.552, 0.552, 0.000]],
  "raw_formation_energy_ev_per_atom": -0.551,
  "magnetic_moment_mub_per_cell": 3.00,
  "sg": "No. 44"
}